Entry 1:
## Rb6Br (PBE)

Data for a relaxed structure of Rb6Br.

extended XYZ file:
```
7
Lattice="10.656 0.000 0.000 -3.552 10.047 0.000 -3.552 -5.023 8.701" Properties=species:S:1:pos:R:3 pbc="T T T"
Rb -1.776 5.023 4.350
Rb 5.328 0.000 4.350
Rb 5.328 3.768 2.175
Rb 1.776 -1.256 6.526
Rb 1.776 6.279 2.175
Rb -1.776 1.256 6.526
Br 0.000 0.000 0.000
```

Values from the calculation:
Crystal system ... cubic
Symmetry ... Im-3m
ΔE_f (raw) ... 89.1 meV per atom
Density of states at the Fermi level ... 4.36 states/eV/f.u.

=====

Entry 2:
## RbBr (PBE)

Data for a relaxed structure of RbBr.

extended XYZ file:
```
16
Lattice="10.611 0.000 0.000 0.000 10.611 0.000 0.000 0.000 10.611" Properties=species:S:1:pos:R:3 pbc="T T T"
Rb 8.925 8.925 8.925
Rb 1.687 8.925 1.687
Rb 3.619 6.993 6.993
Rb 6.993 6.993 3.619
Rb 8.925 1.687 1.687
Rb 6.993 3.619 6.993
Rb 1.687 1.687 8.925
Rb 3.619 3.619 3.619
Br 8.912 8.912 1.699
Br 3.606 3.606 7.005
Br 1.699 1.699 1.699
Br 1.699 8.912 8.912
Br 7.005 3.606 3.606
Br 7.005 7.005 7.005
Br 8.912 1.699 8.912
Br 3.606 7.005 3.606
```

Values from the calculation:
Crystal system ... cubic
Symmetry ... I-43m
ΔE_f (raw) ... -1633.2 meV per atom
Density of states at the Fermi level ... 0.00 states/eV/f.u.

=====

Entry 3:
## Rb3Br (PBE)

Data for a relaxed structure of Rb3Br.

extended XYZ file:
```
4
Lattice="4.553 0.000 0.000 0.000 4.721 0.000 0.000 0.000 12.550" Properties=species:S:1:pos:R:3 pbc="T T T"
Rb 2.277 0.000 9.740
Rb 0.000 2.360 5.799
Rb 2.277 2.360 1.249
Br 0.000 0.000 12.495
```

Values from the calculation:
Crystal system ... orthorhombic
Symmetry ... Pmm2
ΔE_f (raw) ... -793.3 meV per atom
Density of states at the Fermi level ... 2.30 states/eV/f.u.

=====

Entry 4:
## Rb3Br7 (PBE)

Data for a relaxed structure of Rb3Br7.

extended XYZ file:
```
10
Lattice="-4.788 -6.276 -1.907 3.881 -0.806 -7.088 4.069 -7.894 -1.526" Properties=species:S:1:pos:R:3 pbc="T T T"
Rb 0.000 0.000 0.000
Rb 3.748 -6.121 -6.556
Rb -0.586 -8.856 -3.965
Br -0.453 -3.541 -4.497
Br 1.463 -2.332 -5.643
Br -0.253 -1.975 -2.509
Br 1.948 -5.853 -2.920
Br -0.654 -5.107 -6.486
Br -2.370 -4.751 -3.352
Br 1.214 -9.124 -7.602
```

Values from the calculation:
Crystal system ... tetragonal
Symmetry ... I4/mmm
ΔE_f (raw) ... -853.9 meV per atom
Density of states at the Fermi level ... 0.00 states/eV/f.u.

=====

Entry 5:
## RbBr (PBE)

Data for a relaxed structure of RbBr.

extended XYZ file:
```
8
Lattice="-0.406 0.424 -7.748 6.530 -4.172 -0.571 -4.191 -6.541 -0.139" Properties=species:S:1:pos:R:3 pbc="T T T"
Rb 1.170 -5.357 -0.355
Rb -2.299 -3.059 -3.943
Rb 0.000 0.000 0.000
Rb 3.062 -1.874 -4.159
Br 0.483 -2.572 -2.114
Br 3.545 -4.446 -6.274
Br 1.653 -7.929 -2.469
Br -1.815 -5.631 -6.058
```

Values from the calculation:
Crystal system ... cubic
Symmetry ... F-43m
ΔE_f (raw) ... -1650.8 meV per atom
Density of states at the Fermi level ... 0.00 states/eV/f.u.

=====

Entry 6:
## RbBr (PBE)

Data for a relaxed structure of RbBr.

extended XYZ file:
```
12
Lattice="-7.173 -2.561 -5.709 4.841 -7.774 -2.595 -3.964 -4.859 7.161" Properties=species:S:1:pos:R:3 pbc="T T T"
Rb 0.627 -4.527 -2.725
Rb 1.649 -8.260 1.634
Rb -6.560 -4.925 2.516
Rb -0.772 -4.373 2.932
Rb -4.578 -2.495 -1.064
Rb -2.959 -5.808 -5.579
Br -2.376 -3.224 -3.503
Br 0.044 -7.111 -4.801
Br -7.362 -4.351 -0.701
Br -3.775 -3.070 2.153
Br -0.553 -7.531 4.073
Br 1.430 -5.102 0.493
```

Values from the calculation:
Crystal system ... cubic
Symmetry ... Pm-3n
ΔE_f (raw) ... -1644.7 meV per atom
Density of states at the Fermi level ... 0.00 states/eV/f.u.

=====

Entry 7:
## RbBr (PBE)

Data for a relaxed structure of RbBr.

extended XYZ file:
```
2
Lattice="4.190 0.000 0.000 0.000 4.190 0.000 0.000 0.000 4.190" Properties=species:S:1:pos:R:3 pbc="T T T"
Rb 0.000 0.000 0.000
Br 2.095 2.095 2.095
```

Values from the calculation:
Crystal system ... cubic
Symmetry ... Pm-3m
ΔE_f (raw) ... -1694.5 meV per atom
Density of states at the Fermi level ... 0.00 states/eV/f.u.

=====

Entry 8:
## RbBr (PBE)

Data for a relaxed structure of RbBr.

extended XYZ file:
```
2
Lattice="4.949 0.000 0.000 2.474 4.286 0.000 2.474 1.429 4.041" Properties=species:S:1:pos:R:3 pbc="T T T"
Br 4.949 2.857 2.020
Rb 0.000 0.000 0.000
```

Values from the calculation:
Crystal system ... cubic
Symmetry ... Fm-3m
ΔE_f (raw) ... -1748.9 meV per atom
Density of states at the Fermi level ... 0.00 states/eV/f.u.

=====

Entry 9:
## RbBr (PBE)

Data for a relaxed structure of RbBr.

extended XYZ file:
```
16
Lattice="-4.843 -3.863 -9.933 10.578 -0.417 -4.996 0.763 -6.513 2.161" Properties=species:S:1:pos:R:3 pbc="T T T"
Rb 3.403 -3.962 -2.112
Rb -1.229 -5.821 -6.080
Rb 6.100 -0.842 -4.692
Rb 7.728 -4.972 -6.688
Rb -0.365 -3.439 -10.236
Rb -0.154 -1.435 -4.271
Rb 3.096 -6.832 -10.655
Rb 5.889 -2.845 -10.657
Br 7.340 -1.710 -7.747
Br 2.999 -0.709 -3.197
Br -1.605 -2.571 -7.182
Br 6.248 -6.106 -9.581
Br 0.011 -6.689 -9.135
Br 0.250 -4.687 -3.186
Br 2.736 -3.571 -11.731
Br 6.487 -4.105 -3.633
```

Values from the calculation:
Crystal system ... tetragonal
Symmetry ... I4/m
ΔE_f (raw) ... -1696.8 meV per atom
Density of states at the Fermi level ... 0.00 states/eV/f.u.

=====

Entry 10:
## RbBr2 (PBE)

Data for a relaxed structure of RbBr2.

extended XYZ file:
```
6
Lattice="-2.705 0.199 -6.232 -5.273 -4.000 -1.546 -6.160 2.712 -0.946" Properties=species:S:1:pos:R:3 pbc="T T T"
Rb 0.000 0.000 0.000
Rb -3.534 -0.272 -2.181
Br -5.756 -2.036 -4.979
Br -7.484 -0.780 -2.336
Br -8.836 -0.681 -5.452
Br -6.199 1.319 -4.679
```

Values from the calculation:
Crystal system ... cubic
Symmetry ... Fd-3m
ΔE_f (raw) ... -792.9 meV per atom
Density of states at the Fermi level ... 0.75 states/eV/f.u.

=====

Entry 11:
## Rb6Br5 (PBE)

Data for a relaxed structure of Rb6Br5.

extended XYZ file:
```
11
Lattice="-1.000 -6.872 5.089 7.427 -1.694 4.023 -5.743 5.308 3.614" Properties=species:S:1:pos:R:3 pbc="T T T"
Rb 0.443 -4.069 6.719
Rb 0.240 0.811 6.006
Rb 4.616 -1.492 6.182
Rb 4.799 -6.405 6.811
Rb 1.628 -2.161 2.301
Rb -3.932 -1.766 6.544
Br 3.213 -4.283 4.556
Br -1.172 -1.958 4.408
Br -1.352 2.972 3.747
Br 1.856 -1.300 8.318
Br 3.036 0.642 3.889
```

Values from the calculation:
Crystal system ... monoclinic
Symmetry ... C2/m
ΔE_f (raw) ... -1555.4 meV per atom
Density of states at the Fermi level ... 2.73 states/eV/f.u.

=====

Entry 12:
## RbBr (PBE)

Data for a relaxed structure of RbBr.

extended XYZ file:
```
4
Lattice="-3.666 -4.585 -0.795 2.109 1.205 5.403 -5.423 4.128 1.196" Properties=species:S:1:pos:R:3 pbc="T T T"
Br -3.883 2.371 4.234
Br -3.097 -1.623 1.570
Rb -5.808 0.441 2.168
Rb -1.172 0.307 3.636
```

Values from the calculation:
Crystal system ... hexagonal
Symmetry ... P6_3/mmc
ΔE_f (raw) ... -1707.2 meV per atom
Density of states at the Fermi level ... 0.00 states/eV/f.u.